(1)
An optimized crystal structure of Rb2Ho2NpSe6, computed with PBE-GGA.

Cell: 7.215 7.215 8.554 Å, 98.22 98.22 119.98°
Atoms (fractional coordinates):
Rb 0.168 0.832 0.000
Rb 0.832 0.168 0.000
Ho 0.333 0.667 0.500
Ho 0.667 0.333 0.500
Np 0.000 0.000 0.500
Se 0.064 0.395 0.691
Se 0.265 0.265 0.310
Se 0.395 0.064 0.691
Se 0.605 0.936 0.309
Se 0.735 0.735 0.690
Se 0.936 0.605 0.309

Values from the calculation:
space group: No. 12

---

(2)
An optimized crystal structure of Rb2HoNp2Te6, computed with PBE-GGA.

Cell: 7.739 7.739 9.127 Å, 98.11 98.11 119.98°
Atoms (fractional coordinates):
Rb 0.166 0.834 0.000
Rb 0.834 0.166 0.000
Ho 0.000 0.000 0.500
Np 0.333 0.667 0.500
Np 0.667 0.333 0.500
Te 0.067 0.398 0.697
Te 0.268 0.268 0.304
Te 0.398 0.067 0.697
Te 0.602 0.933 0.303
Te 0.732 0.732 0.696
Te 0.933 0.602 0.303

Values from the calculation:
space group: No. 12

---

(3)
An optimized crystal structure of Rb3Ho2NpTe6, computed with PBE-GGA.

Cell: 7.895 7.895 8.919 Å, 98.49 98.49 120.03°
Atoms (fractional coordinates):
Rb 0.000 0.000 0.000
Rb 0.335 0.665 0.000
Rb 0.665 0.335 0.000
Ho 0.167 0.833 0.500
Ho 0.833 0.167 0.500
Np 0.500 0.500 0.500
Te 0.094 0.434 0.301
Te 0.227 0.227 0.699
Te 0.434 0.094 0.301
Te 0.566 0.906 0.699
Te 0.773 0.773 0.301
Te 0.906 0.566 0.699

Values from the calculation:
space group: No. 12

---

(4)
An optimized crystal structure of Rb3Ho3NpTe8, computed with PBE-GGA.

Cell: 10.121 10.121 10.121 Å, 52.26 52.26 52.26°
Atoms (fractional coordinates):
Rb 0.000 0.500 0.500
Rb 0.500 0.000 0.500
Rb 0.500 0.500 0.000
Ho 0.000 0.000 0.500
Ho 0.000 0.500 0.000
Ho 0.500 0.000 0.000
Np 0.500 0.500 0.500
Te 0.232 0.732 0.732
Te 0.233 0.233 0.233
Te 0.268 0.268 0.768
Te 0.268 0.768 0.268
Te 0.732 0.232 0.732
Te 0.732 0.732 0.232
Te 0.767 0.767 0.767
Te 0.768 0.268 0.268

Values from the calculation:
space group: No. 166

---

(5)
An optimized crystal structure of Rb4Ho3NpTe8, computed with PBE-GGA.

Cell: 10.024 10.024 10.024 Å, 53.85 53.85 53.85°
Atoms (fractional coordinates):
Rb 0.000 0.000 0.000
Rb 0.000 0.500 0.500
Rb 0.500 0.000 0.500
Rb 0.500 0.500 0.000
Ho 0.000 0.000 0.500
Ho 0.000 0.500 0.000
Ho 0.500 0.000 0.000
Np 0.500 0.500 0.500
Te 0.228 0.736 0.736
Te 0.233 0.233 0.233
Te 0.264 0.264 0.772
Te 0.264 0.772 0.264
Te 0.736 0.228 0.736
Te 0.736 0.736 0.228
Te 0.767 0.767 0.767
Te 0.772 0.264 0.264

Values from the calculation:
space group: No. 166

---

(6)
An optimized crystal structure of Rb3HoNp3Te8, computed with PBE-GGA.

Cell: 10.117 10.117 10.117 Å, 52.90 52.90 52.90°
Atoms (fractional coordinates):
Rb 0.000 0.500 0.500
Rb 0.500 0.000 0.500
Rb 0.500 0.500 0.000
Ho 0.500 0.500 0.500
Np 0.000 0.000 0.500
Np 0.000 0.500 0.000
Np 0.500 0.000 0.000
Te 0.233 0.233 0.233
Te 0.233 0.732 0.732
Te 0.268 0.268 0.767
Te 0.268 0.767 0.268
Te 0.732 0.233 0.732
Te 0.732 0.732 0.233
Te 0.767 0.268 0.268
Te 0.767 0.767 0.767

Values from the calculation:
space group: No. 166

---

Calculated volume for every record listed, in sequence, given in A^3/atom: 33.6 41.3 38.3 40.0 38.1 40.7.
Formation energy without anion corrections for every record listed, in sequence, given in meV/atom: -1568 -995 -1202 -1220 -1245 -965.